The following is a DFT calculation (GGA-PBE) of an optimized crystal structure of Cs2KAlF6.

Values from the calculation:
Symmetry: Fm-3m
Total magnetization (μB per formula unit): 0.00
Final energy (Ry per atom): -0.365
ΔE_f (raw) (kJ/mol of atoms): -307.43

POSCAR file:
```
Cs2KAlF6
1.0
0.000 4.507 4.507
4.507 0.000 4.507
4.507 4.507 0.000
Cs K Al F
2 1 1 6
Direct
0.250 0.250 0.250
0.750 0.750 0.750
0.000 0.000 0.000
0.500 0.500 0.500
0.295 0.295 0.705
0.295 0.705 0.295
0.295 0.705 0.705
0.705 0.295 0.295
0.705 0.295 0.705
0.705 0.705 0.295
```